Record 1
# ScGaOs | OQMD via LeMat-Bulk | GGA-PBE | relaxed
# total DFT energy (no corrections) = -20.59 eV/cell
# calculated density = 9.2 Mg/m³
data_ScGaOs
_chemical_formula_sum 'Sc1 Ga1 Os1'
_space_group_name_H-M_alt 'P 1'
_space_group_IT_number 1
_space_group_name_Hall 'P 1'
_cell_length_a 4.270
_cell_length_b 4.270
_cell_length_c 4.270
_cell_angle_alpha 60.00
_cell_angle_beta 60.00
_cell_angle_gamma 60.00
loop_
_atom_site_label
_atom_site_type_symbol
_atom_site_fract_x
_atom_site_fract_y
_atom_site_fract_z
Ga1 Ga 0.000 0.000 0.000
Os1 Os 0.250 0.250 0.250
Sc1 Sc 0.750 0.750 0.750

Record 2
# ScGaOs | OQMD via LeMat-Bulk | GGA-PBE | relaxed
# total DFT energy (no corrections) = -19.22 eV/cell
# calculated density = 8.5 Mg/m³
data_ScGaOs
_chemical_formula_sum 'Sc1 Ga1 Os1'
_space_group_name_H-M_alt 'P 1'
_space_group_IT_number 1
_space_group_name_Hall 'P 1'
_cell_length_a 4.379
_cell_length_b 4.379
_cell_length_c 4.379
_cell_angle_alpha 60.00
_cell_angle_beta 60.00
_cell_angle_gamma 60.00
loop_
_atom_site_label
_atom_site_type_symbol
_atom_site_fract_x
_atom_site_fract_y
_atom_site_fract_z
Ga1 Ga 0.250 0.250 0.250
Os1 Os 0.750 0.750 0.750
Sc1 Sc 0.000 0.000 0.000

Record 3
# SmGaOs | OQMD via LeMat-Bulk | GGA-PBE | relaxed
# total DFT energy (no corrections) = -16.55 eV/cell
# calculated density = 9.4 Mg/m³
data_SmGaOs
_chemical_formula_sum 'Sm1 Ga1 Os1'
_space_group_name_H-M_alt 'P 1'
_space_group_IT_number 1
_space_group_name_Hall 'P 1'
_cell_length_a 4.680
_cell_length_b 4.680
_cell_length_c 4.680
_cell_angle_alpha 60.00
_cell_angle_beta 60.00
_cell_angle_gamma 60.00
loop_
_atom_site_label
_atom_site_type_symbol
_atom_site_fract_x
_atom_site_fract_y
_atom_site_fract_z
Ga1 Ga 0.250 0.250 0.250
Os1 Os 0.750 0.750 0.750
Sm1 Sm 0.000 0.000 0.000

Record 4
# SrGaOs | OQMD via LeMat-Bulk | GGA-PBE | relaxed
# total DFT energy (no corrections) = -14.07 eV/cell
# calculated density = 8.2 Mg/m³
data_SrGaOs
_chemical_formula_sum 'Sr1 Ga1 Os1'
_space_group_name_H-M_alt 'P 1'
_space_group_IT_number 1
_space_group_name_Hall 'P 1'
_cell_length_a 4.641
_cell_length_b 4.641
_cell_length_c 4.641
_cell_angle_alpha 60.00
_cell_angle_beta 60.00
_cell_angle_gamma 60.00
loop_
_atom_site_label
_atom_site_type_symbol
_atom_site_fract_x
_atom_site_fract_y
_atom_site_fract_z
Ga1 Ga 0.250 0.250 0.250
Os1 Os 0.000 0.000 0.000
Sr1 Sr 0.750 0.750 0.750

Record 5
# SrGaOs | OQMD via LeMat-Bulk | GGA-PBE | relaxed
# total DFT energy (no corrections) = -11.43 eV/cell
# calculated density = 7.0 Mg/m³
data_SrGaOs
_chemical_formula_sum 'Sr1 Ga1 Os1'
_space_group_name_H-M_alt 'P 1'
_space_group_IT_number 1
_space_group_name_Hall 'P 1'
_cell_length_a 4.889
_cell_length_b 4.889
_cell_length_c 4.889
_cell_angle_alpha 60.00
_cell_angle_beta 60.00
_cell_angle_gamma 60.00
loop_
_atom_site_label
_atom_site_type_symbol
_atom_site_fract_x
_atom_site_fract_y
_atom_site_fract_z
Ga1 Ga 0.250 0.250 0.250
Os1 Os 0.750 0.750 0.750
Sr1 Sr 0.000 0.000 0.000

Record 6
# TaGaOs2 | OQMD via LeMat-Bulk | GGA-PBE | relaxed
# total DFT energy (no corrections) = -73.70 eV/cell
# calculated density = 15.7 Mg/m³
data_TaGaOs2
_chemical_formula_sum 'Ta2 Ga2 Os4'
_space_group_name_H-M_alt 'P 1'
_space_group_IT_number 1
_space_group_name_Hall 'P 1'
_cell_length_a 4.430
_cell_length_b 4.430
_cell_length_c 7.855
_cell_angle_alpha 90.00
_cell_angle_beta 90.00
_cell_angle_gamma 120.00
loop_
_atom_site_label
_atom_site_type_symbol
_atom_site_fract_x
_atom_site_fract_y
_atom_site_fract_z
Ga1 Ga 0.333 0.667 0.250
Ga2 Ga 0.667 0.333 0.750
Os1 Os 0.667 0.333 0.097
Os2 Os 0.667 0.333 0.403
Os3 Os 0.333 0.667 0.597
Os4 Os 0.333 0.667 0.903
Ta1 Ta 0.000 0.000 0.000
Ta2 Ta 0.000 0.000 0.500

Record 7
# TaGaOs2 | OQMD via LeMat-Bulk | GGA-PBE | relaxed
# total DFT energy (no corrections) = -69.93 eV/cell
# calculated density = 16.3 Mg/m³
data_TaGaOs2
_chemical_formula_sum 'Ta2 Ga2 Os4'
_space_group_name_H-M_alt 'P 1'
_space_group_IT_number 1
_space_group_name_Hall 'P 1'
_cell_length_a 4.479
_cell_length_b 4.479
_cell_length_c 7.421
_cell_angle_alpha 90.00
_cell_angle_beta 90.00
_cell_angle_gamma 120.00
loop_
_atom_site_label
_atom_site_type_symbol
_atom_site_fract_x
_atom_site_fract_y
_atom_site_fract_z
Ga1 Ga 0.667 0.333 0.250
Ga2 Ga 0.333 0.667 0.750
Os1 Os 0.333 0.667 0.082
Os2 Os 0.333 0.667 0.418
Os3 Os 0.667 0.333 0.582
Os4 Os 0.667 0.333 0.918
Ta1 Ta 0.000 0.000 0.250
Ta2 Ta 0.000 0.000 0.750

Record 8
# Ta2GaOs | OQMD via LeMat-Bulk | GGA-PBE | relaxed
# total DFT energy (no corrections) = -37.87 eV/cell
# calculated density = 15.9 Mg/m³
data_Ta2GaOs
_chemical_formula_sum 'Ta2 Ga1 Os1'
_space_group_name_H-M_alt 'P 1'
_space_group_IT_number 1
_space_group_name_Hall 'P 1'
_cell_length_a 4.516
_cell_length_b 4.516
_cell_length_c 4.516
_cell_angle_alpha 60.00
_cell_angle_beta 60.00
_cell_angle_gamma 60.00
loop_
_atom_site_label
_atom_site_type_symbol
_atom_site_fract_x
_atom_site_fract_y
_atom_site_fract_z
Ga1 Ga 0.500 0.500 0.500
Os1 Os 0.250 0.250 0.250
Ta1 Ta 0.000 0.000 0.000
Ta2 Ta 0.750 0.750 0.750

Please write out number 3 again, unchanged.
# SmGaOs | OQMD via LeMat-Bulk | GGA-PBE | relaxed
# total DFT energy (no corrections) = -16.55 eV/cell
# calculated density = 9.4 Mg/m³
data_SmGaOs
_chemical_formula_sum 'Sm1 Ga1 Os1'
_space_group_name_H-M_alt 'P 1'
_space_group_IT_number 1
_space_group_name_Hall 'P 1'
_cell_length_a 4.680
_cell_length_b 4.680
_cell_length_c 4.680
_cell_angle_alpha 60.00
_cell_angle_beta 60.00
_cell_angle_gamma 60.00
loop_
_atom_site_label
_atom_site_type_symbol
_atom_site_fract_x
_atom_site_fract_y
_atom_site_fract_z
Ga1 Ga 0.250 0.250 0.250
Os1 Os 0.750 0.750 0.750
Sm1 Sm 0.000 0.000 0.000